[1]
Entry from the Open Quantum Materials Database: crystalline Sn2IrAu at its relaxed geometry (PBE-GGA).

Summary:
Total DFT energy (no corrections) in eV per atom: -5.254
Excess energy over the best structure of this formula in the dataset in meV/atom: 0
Theoretical density in kg/m3: 12036

Cell: 4.2386 4.2386 5.5564 Å, 90.00 90.00 120.00°
Last column: nearest neighbours and their distance in Å.
Space group P-3m1 (No. 164)
Asymmetric unit:
Sn: 0.3333 0.6667 0.2814 x2  3 Ir 2.73, 3 Au 2.90
Ir: 0.0000 0.0000 0.5000 x1  6 Sn 2.73, 2 Au 2.78
Au: 0.0000 0.0000 0.0000 x1  2 Ir 2.78, 6 Sn 2.90

---

[2]
Entry from the Open Quantum Materials Database: crystalline Sn5Ir3Au at its relaxed geometry (PBE-GGA).

Summary:
Total DFT energy (no corrections) in eV per atom: -5.573
Theoretical density in kg/m3: 11278

Cell: 5.6023 5.6023 7.4059 Å, 90.00 90.00 120.00°
Last column: nearest neighbours and their distance in Å.
Space group P6/mmm (No. 191)
Asymmetric unit:
Sn: 0.0000 0.0000 0.0000 x1  6 Ir 2.80
Sn: 0.3333 0.6667 0.2981 x4  3 Ir 2.74, 1 Sn 2.99
Ir: 0.0000 0.5000 0.0000 x3  6 Sn 2.74-2.80, 4 Ir 2.80
Au: 0.0000 0.0000 0.5000 x1  14 Sn 3.56-3.70

---

[3]
Entry from the Open Quantum Materials Database: crystalline SnTe3IrAu at its relaxed geometry (PBE-GGA).

Summary:
Total DFT energy (no corrections) in eV per atom: -4.402
Theoretical density in kg/m3: 9457

Cell: 4.0843 13.6707 11.2042 Å, 90.00 90.00 90.00°
Last column: nearest neighbours and their distance in Å.
Space group Cmcm (No. 63)
Asymmetric unit:
Sn: 0.0000 0.1909 0.2500 x4  2 Au 2.84, 4 Te 3.02-3.06
Te: 0.0000 0.1259 0.5111 x8  2 Ir 2.67, 1 Au 2.73
Te: 0.0000 0.4720 0.7500 x4  2 Ir 2.83, 2 Sn 3.02
Ir: 0.0000 0.5000 0.0000 x4  6 Te 2.67-2.83
Au: 0.0000 0.1650 0.7500 x4  2 Te 2.73, 2 Sn 2.84

---

[4]
Entry from the Open Quantum Materials Database: crystalline SrIrAu at its relaxed geometry (PBE-GGA).

Summary:
Total DFT energy (no corrections) in eV per atom: -4.371
Excess energy over the best structure of this formula in the dataset in meV/atom: 0
Theoretical density in kg/m3: 10570

Cell: 6.6916 6.6916 6.6916 Å, 90.00 90.00 90.00°
Last column: nearest neighbours and their distance in Å.
Space group F-43m (No. 216)
Asymmetric unit:
Sr: 0.0000 0.0000 0.0000 x4  4 Ir 2.90
Ir: 0.2500 0.2500 0.7500 x4  4 Sr 2.90, 4 Au 2.90
Au: 0.0000 0.0000 0.5000 x4  4 Ir 2.90

---

[5]
Entry from the Open Quantum Materials Database: crystalline TaIrAu2 at its relaxed geometry (PBE-GGA).

Summary:
Total DFT energy (no corrections) in eV per atom: -6.794
Theoretical density in kg/m3: 18817
Energy of formation from the pure elements in meV per atom: 16

Cell: 6.4695 6.4695 6.4695 Å, 90.00 90.00 90.00°
Last column: nearest neighbours and their distance in Å.
Space group F-43m (No. 216)
Asymmetric unit:
Ta: 0.0000 0.0000 0.0000 x4  4 Ir 2.80, 4 Au 2.80
Ir: 0.2500 0.2500 0.2500 x4  4 Ta 2.80, 4 Au 2.80
Au: 0.0000 0.0000 0.5000 x4  4 Ir 2.80, 4 Au 2.80
Au: 0.2500 0.2500 0.7500 x4  4 Ta 2.80, 4 Au 2.80

---

[6]
Entry from the Open Quantum Materials Database: crystalline Tb3Zn3IrAu2 at its relaxed geometry (PBE-GGA).

Summary:
Total DFT energy (no corrections) in eV per atom: -4.350
Theoretical density in kg/m3: 11234
Energy of formation from the pure elements in meV per atom: -675

Cell: 7.3155 7.3155 4.0156 Å, 90.00 90.00 120.00°
Last column: nearest neighbours and their distance in Å.
Space group P-62m (No. 189)
Asymmetric unit:
Tb: 0.0000 0.6064 0.0000 x3  1 Ir 2.88, 4 Au 3.02, 4 Zn 3.22
Zn: 0.0000 0.2375 0.5000 x3  2 Ir 2.66, 2 Au 2.85
Ir: 0.0000 0.0000 0.0000 x1  6 Zn 2.66, 3 Tb 2.88
Au: 0.3333 0.6667 0.5000 x2  3 Zn 2.85, 6 Tb 3.02

---

[7]
Entry from the Open Quantum Materials Database: crystalline TcIrAu2 at its relaxed geometry (PBE-GGA).

Summary:
Total DFT energy (no corrections) in eV per atom: -5.912
Excess energy over the best structure of this formula in the dataset in meV/atom: 0
Theoretical density in kg/m3: 17274
Energy of formation from the pure elements in meV per atom: 526

Cell: 6.4075 6.4075 6.4075 Å, 90.00 90.00 90.00°
Last column: nearest neighbours and their distance in Å.
Space group F-43m (No. 216)
Asymmetric unit:
Tc: 0.0000 0.0000 0.0000 x4  4 Ir 2.77, 4 Au 2.77
Ir: 0.2500 0.2500 0.7500 x4  4 Tc 2.77, 4 Au 2.77
Au: 0.0000 0.0000 0.5000 x4  4 Ir 2.77, 4 Au 2.77
Au: 0.2500 0.2500 0.2500 x4  4 Tc 2.77, 4 Au 2.77

---

[8]
Entry from the Open Quantum Materials Database: crystalline TcIrAu2 at its relaxed geometry (PBE-GGA).

Summary:
Total DFT energy (no corrections) in eV per atom: -5.880
Excess energy over the best structure of this formula in the dataset in meV/atom: 32
Theoretical density in kg/m3: 17683
Energy of formation from the pure elements in meV per atom: 557

Cell: 6.3577 6.3577 6.3577 Å, 90.00 90.00 90.00°
Last column: nearest neighbours and their distance in Å.
Space group Fm-3m (No. 225)
Asymmetric unit:
Tc: 0.0000 0.0000 0.0000 x4  8 Au 2.75
Ir: 0.0000 0.0000 0.5000 x4  8 Au 2.75
Au: 0.2500 0.2500 0.2500 x8  4 Tc 2.75, 4 Ir 2.75

---

[9]
Entry from the Open Quantum Materials Database: crystalline Te5Ir3Au at its relaxed geometry (PBE-GGA).

Summary:
Total DFT energy (no corrections) in eV per atom: -4.823
Theoretical density in kg/m3: 10475

Cell: 5.7918 5.7918 7.7031 Å, 90.00 90.00 120.00°
Last column: nearest neighbours and their distance in Å.
Space group P6/mmm (No. 191)
Asymmetric unit:
Te: 0.0000 0.0000 0.0000 x1  6 Ir 2.90
Te: 0.3333 0.6667 0.2750 x4  3 Ir 2.70
Ir: 0.0000 0.5000 0.0000 x3  6 Te 2.70-2.90, 4 Ir 2.90
Au: 0.0000 0.0000 0.5000 x1  14 Te 3.77-3.85

---

[10]
Entry from the Open Quantum Materials Database: crystalline TlTe4IrAu3 at its relaxed geometry (PBE-GGA).

Summary:
Total DFT energy (no corrections) in eV per atom: -3.618
Theoretical density in kg/m3: 8584

Cell: 6.6172 6.6172 6.6172 Å, 90.00 90.00 90.00°
Last column: nearest neighbours and their distance in Å.
Space group P-43m (No. 215)
Asymmetric unit:
Tl: 0.0000 0.0000 0.0000 x1  4 Te 3.13
Te: 0.2730 0.2730 0.2730 x4  1 Ir 2.60, 3 Au 2.79
Ir: 0.5000 0.5000 0.5000 x1  4 Te 2.60
Au: 0.0000 0.5000 0.5000 x3  4 Te 2.79

---

[11]
Entry from the Open Quantum Materials Database: crystalline Th2IrAu at its relaxed geometry (PBE-GGA).

Summary:
Total DFT energy (no corrections) in eV per atom: -7.568
Theoretical density in kg/m3: 13059
Energy of formation from the pure elements in meV per atom: -831

Cell: 4.1273 4.1273 22.0643 Å, 90.00 90.00 120.00°
Last column: nearest neighbours and their distance in Å.
Space group R-3m (No. 166, hexagonal axes)
Asymmetric unit:
Th: 0.0000 0.0000 0.2400 x6  3 Ir 2.88, 3 Au 3.15
Ir: 0.0000 0.0000 0.5000 x3  6 Th 2.88
Au: 0.0000 0.0000 0.0000 x3  6 Th 3.15

---

[12]
Entry from the Open Quantum Materials Database: crystalline TlIrAu2 at its relaxed geometry (PBE-GGA).

Summary:
Total DFT energy (no corrections) in eV per atom: -4.041
Theoretical density in kg/m3: 18058

Cell: 6.6251 6.6251 6.6251 Å, 90.00 90.00 90.00°
Last column: nearest neighbours and their distance in Å.
Space group F-43m (No. 216)
Asymmetric unit:
Tl: 0.0000 0.0000 0.0000 x4  4 Ir 2.87, 4 Au 2.87
Ir: 0.2500 0.2500 0.2500 x4  4 Au 2.87, 4 Tl 2.87
Au: 0.0000 0.0000 0.5000 x4  4 Au 2.87, 4 Ir 2.87
Au: 0.2500 0.2500 0.7500 x4  4 Tl 2.87, 4 Au 2.87

---

[13]
Entry from the Open Quantum Materials Database: crystalline Tl2IrAu at its relaxed geometry (PBE-GGA).

Summary:
Total DFT energy (no corrections) in eV per atom: -3.642
Theoretical density in kg/m3: 16106

Cell: 6.9040 6.9040 6.9040 Å, 90.00 90.00 90.00°
Last column: nearest neighbours and their distance in Å.
Space group F-43m (No. 216)
Asymmetric unit:
Tl: 0.0000 0.0000 0.0000 x4  4 Tl 2.99, 4 Ir 2.99
Tl: 0.2500 0.2500 0.2500 x4  4 Tl 2.99, 4 Au 2.99
Ir: 0.2500 0.2500 0.7500 x4  4 Tl 2.99, 4 Au 2.99
Au: 0.0000 0.0000 0.5000 x4  4 Tl 2.99, 4 Ir 2.99

---

[14]
Entry from the Open Quantum Materials Database: crystalline IrWAu2 at its relaxed geometry (PBE-GGA).

Summary:
Total DFT energy (no corrections) in eV per atom: -6.630
Theoretical density in kg/m3: 19344
Energy of formation from the pure elements in meV per atom: 457

Cell: 6.4182 6.4182 6.4182 Å, 90.00 90.00 90.00°
Last column: nearest neighbours and their distance in Å.
Space group F-43m (No. 216)
Asymmetric unit:
Ir: 0.0000 0.0000 0.0000 x4  4 W 2.78, 4 Au 2.78
W: 0.2500 0.2500 0.7500 x4  4 Au 2.78, 4 Ir 2.78
Au: 0.0000 0.0000 0.5000 x4  4 Au 2.78, 4 W 2.78
Au: 0.2500 0.2500 0.2500 x4  4 Ir 2.78, 4 Au 2.78

---

[15]
Entry from the Open Quantum Materials Database: crystalline Y3Zn3IrAu2 at its relaxed geometry (PBE-GGA).

Summary:
Total DFT energy (no corrections) in eV per atom: -4.963
Theoretical density in kg/m3: 9393
Energy of formation from the pure elements in meV per atom: -677

Cell: 7.2766 7.2766 4.0448 Å, 90.00 90.00 120.00°
Last column: nearest neighbours and their distance in Å.
Space group P-62m (No. 189)
Asymmetric unit:
Y: 0.0000 0.6046 0.0000 x3  1 Ir 2.88, 4 Au 3.01, 4 Zn 3.22
Zn: 0.0000 0.2363 0.5000 x3  2 Ir 2.65, 2 Au 2.84
Ir: 0.0000 0.0000 0.0000 x1  6 Zn 2.65, 3 Y 2.88
Au: 0.3333 0.6667 0.5000 x2  3 Zn 2.84, 6 Y 3.01

---

[16]
Entry from the Open Quantum Materials Database: crystalline Zn2IrAu at its relaxed geometry (PBE-GGA).

Summary:
Total DFT energy (no corrections) in eV per atom: -3.630
Theoretical density in kg/m3: 13995
Energy of formation from the pure elements in meV per atom: 33

Cell: 6.2727 6.2727 6.2727 Å, 90.00 90.00 90.00°
Last column: nearest neighbours and their distance in Å.
Space group F-43m (No. 216)
Asymmetric unit:
Zn: 0.0000 0.0000 0.0000 x4  4 Zn 2.72, 4 Au 2.72
Zn: 0.2500 0.2500 0.2500 x4  4 Ir 2.72, 4 Zn 2.72
Ir: 0.0000 0.0000 0.5000 x4  4 Zn 2.72, 4 Au 2.72
Au: 0.2500 0.2500 0.7500 x4  4 Ir 2.72, 4 Zn 2.72

---

[17]
Entry from the Open Quantum Materials Database: crystalline ZnIr2Au at its relaxed geometry (PBE-GGA).

Summary:
Total DFT energy (no corrections) in eV per atom: -5.272
Theoretical density in kg/m3: 17348
Energy of formation from the pure elements in meV per atom: 288

Cell: 6.2798 6.2798 6.2798 Å, 90.00 90.00 90.00°
Last column: nearest neighbours and their distance in Å.
Space group F-43m (No. 216)
Asymmetric unit:
Zn: 0.0000 0.0000 0.0000 x4  4 Ir 2.72, 4 Au 2.72
Ir: 0.0000 0.0000 0.5000 x4  4 Ir 2.72, 4 Au 2.72
Ir: 0.2500 0.2500 0.7500 x4  4 Ir 2.72, 4 Zn 2.72
Au: 0.2500 0.2500 0.2500 x4  4 Ir 2.72, 4 Zn 2.72

---

[18]
Entry from the Open Quantum Materials Database: crystalline Zr3Zn3Ir2Au at its relaxed geometry (PBE-GGA).

Summary:
Total DFT energy (no corrections) in eV per atom: -6.232
Theoretical density in kg/m3: 10984
Energy of formation from the pure elements in meV per atom: -630

Cell: 7.4179 7.4179 3.3352 Å, 90.00 90.00 120.00°
Last column: nearest neighbours and their distance in Å.
Space group P-62m (No. 189)
Asymmetric unit:
Zr: 0.0000 0.4014 0.0000 x3  4 Ir 2.81, 6 Zn 2.91-3.12, 1 Au 2.98
Zn: 0.0000 0.7228 0.5000 x3  2 Au 2.65, 2 Ir 2.70, 2 Zr 2.91
Ir: 0.3333 0.6667 0.5000 x2  3 Zn 2.70, 6 Zr 2.81
Au: 0.0000 0.0000 0.0000 x1  6 Zn 2.65

---

[19]
Entry from the Open Quantum Materials Database: crystalline K2Au17 at its relaxed geometry (PBE-GGA).

Summary:
Total DFT energy (no corrections) in eV per atom: -3.150
Theoretical density in kg/m3: 14433

Cell: 9.8527 9.8527 9.3790 Å, 90.00 90.00 120.00°
Last column: nearest neighbours and their distance in Å.
Space group P6_3/mmc (No. 194)
Asymmetric unit:
K: 0.0000 0.0000 0.2500 x2  18 Au 3.38-3.79
K: 0.3333 0.6667 0.2500 x2  20 Au 3.30-3.69
Au: 0.0000 0.5000 0.0000 x6  10 Au 2.82-3.00
Au: 0.0310 0.3580 0.7500 x12  8 Au 2.82-3.10
Au: 0.1657 0.3315 0.0186 x12  9 Au 2.85-3.07
Au: 0.3333 0.6667 0.6015 x4  7 Au 2.79-3.07

---

[20]
Entry from the Open Quantum Materials Database: crystalline K8Au3 at its relaxed geometry (PBE-GGA).

Summary:
Total DFT energy (no corrections) in eV per atom: -1.847
Theoretical density in kg/m3: 3260

Cell: 10.3362 10.3362 59.7040 Å, 90.00 90.00 120.00°
Last column: nearest neighbours and their distance in Å.
Space group R3 (No. 146, hexagonal axes)
Asymmetric unit:
K: 0.0000 0.0000 0.9997 x3  4 K 3.52-3.93, 4 Au 3.76-3.80
K: 0.0000 0.0000 0.0585 x3  4 K 3.52-3.93, 4 Au 3.76-3.81
K: 0.0000 0.0000 0.2221 x3  1 Au 3.41
K: 0.0000 0.0000 0.3363 x3  4 Au 3.41-3.80
K: 0.0000 0.0000 0.4991 x3  4 K 3.52-3.92, 4 Au 3.73-3.81
K: 0.0000 0.0000 0.5581 x3  4 K 3.52-3.94, 4 Au 3.79-3.80
K: 0.0000 0.0000 0.7217 x3  1 Au 3.41
K: 0.0000 0.0000 0.8359 x3  4 Au 3.41-3.80
K: 0.9998 0.2295 0.1669 x9  3 Au 3.50-3.60, 1 K 3.92
K: 0.0014 0.2293 0.8913 x9  3 Au 3.50-3.60, 1 K 3.92
K: 0.0016 0.7711 0.3913 x9  3 Au 3.51-3.60, 1 K 3.92
K: 0.0068 0.6414 0.1290 x9  3 Au 3.51-3.77, 3 K 3.90-3.92
K: 0.0077 0.3672 0.6291 x9  3 Au 3.51-3.78, 2 K 3.91
K: 0.0328 0.3412 0.7624 x9  3 Au 3.51-3.77, 3 K 3.90-3.93
K: 0.0341 0.6924 0.2624 x9  3 Au 3.52-3.78, 3 K 3.91-3.94
K: 0.1042 0.6678 0.3333 x9  3 Au 3.51-3.60, 1 K 3.92
Au: 0.0000 0.0000 0.1215 x3  10 K 3.59-3.77
Au: 0.0000 0.0000 0.2792 x3  8 K 3.41-3.52
Au: 0.0000 0.0000 0.4366 x3  10 K 3.60-3.77
Au: 0.0000 0.0000 0.6215 x3  10 K 3.58-3.79
Au: 0.0000 0.0000 0.7788 x3  8 K 3.41-3.51
Au: 0.0000 0.0000 0.9367 x3  10 K 3.58-3.78
Au: 0.0007 0.3266 0.0289 x9  8 K 3.51-3.82
Au: 0.0021 0.6744 0.5287 x9  8 K 3.50-3.84